First-principles (PBE with a Hubbard U) data for a geometry-optimized Sr3YFe2O9 structure, as listed in Alexandria.

## Properties
Space group: P-3m1 (164)
Total moment: 7.565 μB/cell
Final energy: -6.661 eV per atom

The structure in POSCAR format:
```
Sr3YFe2O9
1.0
5.679 0.000 0.000
-2.840 4.919 0.000
0.000 0.000 7.123
Sr Y Fe O
3 1 2 9
direct
0.000 0.000 0.000 Sr
0.333 0.667 0.699 Sr
0.667 0.333 0.301 Sr
0.000 0.000 0.500 Y
0.333 0.667 0.162 Fe
0.667 0.333 0.838 Fe
0.000 0.500 0.000 O
0.175 0.349 0.310 O
0.175 0.825 0.310 O
0.349 0.175 0.690 O
0.500 0.000 0.000 O
0.500 0.500 0.000 O
0.651 0.825 0.310 O
0.825 0.175 0.690 O
0.825 0.651 0.690 O
```